--- 1 ---
# CaTc2Ir

CaTc2Ir after structural relaxation (GGA-PBE, Alexandria via LeMat-Bulk).

Magnetic moment in μB per cell: 0.000
DOS at the Fermi energy in states/eV/cell: 5.76

Cell lengths 3.2947, 3.2947, 6.9190 Å; angles 90.00, 90.00, 90.00 degrees
Closest atoms and distances in Å follow each position.
Space group P4/mmm (No. 123)
One atom of each set of equivalent atoms:
Ca  0.0000  0.0000  0.0000  8 Tc 3.21, 4 Ca 3.29, 2 Ir 3.46
Tc  0.5000  0.5000  0.3199  1 Tc 2.49, 4 Ir 2.64
Ir  0.0000  0.0000  0.5000  8 Tc 2.64

=====

--- 2 ---
# CaTc2Ir

CaTc2Ir after structural relaxation (GGA-PBE, Alexandria via LeMat-Bulk).

Magnetic moment in μB per cell: 0.000
DOS at the Fermi energy in states/eV/cell: 3.74

Cell lengths 4.8231, 4.8231, 2.8246 Å; angles 90.00, 90.00, 90.00 degrees
Closest atoms and distances in Å follow each position.
Space group P4/mmm (No. 123)
One atom of each set of equivalent atoms:
Ca  0.0000  0.0000  0.0000  8 Tc 2.79, 2 Ca 2.82
Tc  0.0000  0.5000  0.5000  4 Ca 2.79, 4 Ir 2.79, 2 Tc 2.82
Ir  0.5000  0.5000  0.0000  8 Tc 2.79, 2 Ir 2.82

=====

Going by the computed energies, the most stable comes first: 1, 2.

=====

--- 1 ---
# CaTeIr

CaTeIr after structural relaxation (GGA-PBE, Alexandria via LeMat-Bulk).

Magnetic moment in μB per cell: 0.000
DOS at the Fermi energy in states/eV/cell: 2.87

Cell lengths 4.4622, 4.4622, 4.1992 Å; angles 90.00, 90.00, 120.00 degrees
Closest atoms and distances in Å follow each position.
Space group P-6m2 (No. 187)
One atom of each set of equivalent atoms:
Ca  0.0000  0.0000  0.0000  6 Te 3.32, 6 Ir 3.32
Te  0.3333  0.6667  0.5000  3 Ir 2.58
Ir  0.6667  0.3333  0.5000  3 Te 2.58

=====

--- 2 ---
# CaTeIr

CaTeIr after structural relaxation (GGA-PBE, Alexandria via LeMat-Bulk).

Magnetic moment in μB per cell: 0.000
DOS at the Fermi energy in states/eV/cell: 13.91

Cell lengths 6.5849, 6.5849, 6.5849 Å; angles 90.00, 90.00, 90.00 degrees
Closest atoms and distances in Å follow each position.
Space group F-43m (No. 216)
One atom of each set of equivalent atoms:
Ca  0.0000  0.0000  0.0000  4 Ir 2.85
Te  0.0000  0.0000  0.5000  4 Ir 2.85
Ir  0.2500  0.2500  0.7500  4 Te 2.85, 4 Ca 2.85

=====

--- 3 ---
# CaTeIr

CaTeIr after structural relaxation (GGA-PBE, Alexandria via LeMat-Bulk).

Magnetic moment in μB per cell: 0.003
DOS at the Fermi energy in states/eV/cell: 5.50

Cell lengths 3.6677, 4.2804, 8.8980 Å; angles 90.00, 90.00, 90.00 degrees
Closest atoms and distances in Å follow each position.
Space group Imm2 (No. 44)
One atom of each set of equivalent atoms:
Ca  0.0000  0.0000  0.0000  5 Te 2.97-3.18, 4 Ir 3.03
Te  0.0000  0.0000  0.3337  1 Ir 2.60
Ir  0.0000  0.0000  0.6253  1 Te 2.60

=====

--- 4 ---
# CaTeIr

CaTeIr after structural relaxation (GGA-PBE, Alexandria via LeMat-Bulk).

Magnetic moment in μB per cell: 0.012
DOS at the Fermi energy in states/eV/cell: 11.44

Cell lengths 6.7512, 6.7512, 6.7512 Å; angles 90.00, 90.00, 90.00 degrees
Closest atoms and distances in Å follow each position.
Space group F-43m (No. 216)
One atom of each set of equivalent atoms:
Ca  0.0000  0.0000  0.0000  4 Te 2.92, 4 Ir 2.92
Te  0.2500  0.2500  0.7500  4 Ca 2.92
Ir  0.2500  0.2500  0.2500  4 Ca 2.92

=====

Going by the computed energies, the most stable comes first: 1, 2, 3, 4.

=====

--- 1 ---
# CaTeIr3

CaTeIr3 after structural relaxation (GGA-PBE, Alexandria via LeMat-Bulk).

Magnetic moment in μB per cell: 1.922
DOS at the Fermi energy in states/eV/cell: 6.58

Cell lengths 4.8528, 4.8528, 4.8528 Å; angles 90.00, 90.00, 90.00 degrees
Closest atoms and distances in Å follow each position.
Space group Pm-3m (No. 221)
One atom of each set of equivalent atoms:
Ca  0.0000  0.0000  0.0000  6 Ir 2.43
Te  0.5000  0.5000  0.5000  12 Ir 3.43
Ir  0.0000  0.0000  0.5000  2 Ca 2.43

=====

--- 2 ---
# CaTeIr3

CaTeIr3 after structural relaxation (GGA-PBE, Alexandria via LeMat-Bulk).

Magnetic moment in μB per cell: 0.000
DOS at the Fermi energy in states/eV/cell: 10.15

Cell lengths 4.9019, 4.9019, 4.9019 Å; angles 90.00, 90.00, 90.00 degrees
Closest atoms and distances in Å follow each position.
Space group Pm-3m (No. 221)
One atom of each set of equivalent atoms:
Ca  0.0000  0.0000  0.0000  12 Ir 3.47
Te  0.5000  0.5000  0.5000  6 Ir 2.45
Ir  0.0000  0.5000  0.5000  2 Te 2.45

=====

Going by the computed energies, the most stable comes first: 2, 1.

=====

--- 1 ---
# CaTh2Ir

CaTh2Ir after structural relaxation (GGA-PBE, Alexandria via LeMat-Bulk).

Magnetic moment in μB per cell: 0.000
DOS at the Fermi energy in states/eV/cell: 19.39

Cell lengths 4.0017, 4.0017, 32.1379 Å; angles 90.00, 90.00, 120.00 degrees
Closest atoms and distances in Å follow each position.
Space group R-3m (No. 166, hexagonal axes)
One atom of each set of equivalent atoms:
Ca  0.0000  0.0000  0.0000  2 Th 3.72, 6 Ca 4.00
Th  0.0000  0.0000  0.1159  3 Ir 2.83
Ir  0.0000  0.0000  0.5000  6 Th 2.83

=====

--- 2 ---
# CaTh2Ir

CaTh2Ir after structural relaxation (GGA-PBE, Alexandria via LeMat-Bulk).

Magnetic moment in μB per cell: 0.001
DOS at the Fermi energy in states/eV/cell: 14.04

Cell lengths 4.0850, 4.0850, 28.4566 Å; angles 90.00, 90.00, 120.00 degrees
Closest atoms and distances in Å follow each position.
Space group R3m (No. 160, hexagonal axes)
One atom of each set of equivalent atoms:
Ca  0.0000  0.0000  0.0000  6 Th 3.90-3.97, 6 Ca 4.08
Th  0.0000  0.0000  0.2242  3 Ir 2.84
Th  0.0000  0.0000  0.4454  3 Ir 2.85
Ir  0.0000  0.0000  0.8352  6 Th 2.84-2.85

=====

Going by the computed energies, the most stable comes first: 2, 1.

=====

--- 1 ---
# Ca3TiIr

Ca3TiIr after structural relaxation (GGA-PBE, Alexandria via LeMat-Bulk).

Magnetic moment in μB per cell: 4.802
DOS at the Fermi energy in states/eV/cell: 3.78

Cell lengths 5.3749, 5.3749, 5.3749 Å; angles 90.00, 90.00, 90.00 degrees
Closest atoms and distances in Å follow each position.
Space group Pm-3m (No. 221)
One atom of each set of equivalent atoms:
Ca  0.0000  0.0000  0.5000  2 Ti 2.69
Ti  0.0000  0.0000  0.0000  6 Ca 2.69
Ir  0.5000  0.5000  0.5000  12 Ca 3.80

=====

--- 2 ---
# Ca3TiIr

Ca3TiIr after structural relaxation (GGA-PBE, Alexandria via LeMat-Bulk).

Magnetic moment in μB per cell: 3.268
DOS at the Fermi energy in states/eV/cell: 11.67

Cell lengths 5.4743, 5.4743, 5.4743 Å; angles 90.00, 90.00, 90.00 degrees
Closest atoms and distances in Å follow each position.
Space group Pm-3m (No. 221)
One atom of each set of equivalent atoms:
Ca  0.0000  0.0000  0.5000  2 Ir 2.74
Ti  0.5000  0.5000  0.5000  12 Ca 3.87
Ir  0.0000  0.0000  0.0000  6 Ca 2.74

=====

Going by the computed energies, the most stable comes first: 2, 1.

=====

--- 1 ---
# Ca2TiIr

Ca2TiIr after structural relaxation (GGA-PBE, Alexandria via LeMat-Bulk).

Magnetic moment in μB per cell: 3.955
DOS at the Fermi energy in states/eV/cell: 18.79

Cell lengths 10.5120, 10.5120, 4.7260 Å; angles 90.00, 90.00, 90.00 degrees
Closest atoms and distances in Å follow each position.
Space group I-42d (No. 122)
One atom of each set of equivalent atoms:
Ca  0.0962  0.2500  0.1250  2 Ir 2.88
Ti  0.0000  0.0000  0.5000  2 Ir 2.36
Ir  0.0000  0.0000  0.0000  2 Ti 2.36

=====

--- 2 ---
# Ca2TiIr

Ca2TiIr after structural relaxation (GGA-PBE, Alexandria via LeMat-Bulk).

Magnetic moment in μB per cell: 0.000
DOS at the Fermi energy in states/eV/cell: 67.32

Cell lengths 7.0655, 7.0655, 7.0655 Å; angles 90.00, 90.00, 90.00 degrees
Closest atoms and distances in Å follow each position.
Space group Fm-3m (No. 225)
One atom of each set of equivalent atoms:
Ca  0.2500  0.2500  0.2500  4 Ir 3.06, 4 Ti 3.06
Ti  0.0000  0.0000  0.0000  8 Ca 3.06
Ir  0.0000  0.0000  0.5000  8 Ca 3.06

=====

Going by the computed energies, the most stable comes first: 1, 2.